(1)
DFT (PBE-GGA) results for a relaxed structure of Pu4ZnSi.

abc: 2.834 4.632 8.817
angles: 90.00 90.00 90.00
Sites, in units of the cell vectors:
Pu 0.000 0.000 0.177
Pu 0.000 0.000 0.823
Pu 0.000 0.500 0.312
Pu 0.000 0.500 0.688
Zn 0.500 0.000 0.500
Si 0.500 0.500 0.000

Output
The symmetry is Pmmm, No. 47. Its crystal system is orthorhombic. For the total energy, the calculation gives -10.733 eV per atom. The calculation puts the uncorrected formation energy at -0.062 eV per atom.

=====

(2)
DFT (PBE-GGA) results for a relaxed structure of Pu2Zn3Si.

abc: 9.267 8.597 5.525
angles: 78.74 65.48 35.78
Sites, in units of the cell vectors:
Pu 0.246 0.754 0.754
Pu 0.250 0.250 0.250
Pu 0.750 0.750 0.750
Pu 0.754 0.246 0.246
Zn 0.168 0.168 0.832
Zn 0.171 0.663 0.337
Zn 0.337 0.829 0.171
Zn 0.663 0.171 0.829
Zn 0.829 0.337 0.663
Zn 0.832 0.832 0.168
Si 0.335 0.335 0.665
Si 0.665 0.665 0.335

Output
The symmetry is Fmmm, No. 69. Its crystal system is orthorhombic. For the total energy, the calculation gives -6.545 eV per atom. The calculation puts the uncorrected formation energy at -0.227 eV per atom.

=====

(3)
DFT (PBE-GGA) results for a relaxed structure of Pu6ZnSi2.

abc: 8.632 8.632 3.051
angles: 90.00 90.00 120.00
Sites, in units of the cell vectors:
Pu 0.000 0.337 0.000
Pu 0.000 0.663 0.000
Pu 0.337 0.000 0.000
Pu 0.337 0.337 0.000
Pu 0.663 0.000 0.000
Pu 0.663 0.663 0.000
Zn 0.000 0.000 0.500
Si 0.333 0.667 0.500
Si 0.667 0.333 0.500

Output
The symmetry is P6/mmm, No. 191. Its crystal system is hexagonal. For the total energy, the calculation gives -10.856 eV per atom. The calculation puts the uncorrected formation energy at 0.045 eV per atom.

=====

(4)
DFT (PBE-GGA) results for a relaxed structure of PuZrSi.

abc: 4.660 4.660 3.540
angles: 90.00 90.00 120.00
Sites, in units of the cell vectors:
Pu 0.000 0.000 0.000
Zr 0.667 0.333 0.500
Si 0.333 0.667 0.500

Output
The symmetry is P-6m2, No. 187. Its crystal system is hexagonal. For the total energy, the calculation gives -9.564 eV per atom. The calculation puts the uncorrected formation energy at -0.130 eV per atom.

=====

(5)
DFT (PBE-GGA) results for a relaxed structure of PuZrSi2.

abc: 3.081 3.081 7.982
angles: 90.00 90.00 90.00
Sites, in units of the cell vectors:
Pu 0.000 0.000 0.000
Zr 0.000 0.000 0.500
Si 0.500 0.500 0.259
Si 0.500 0.500 0.741

Output
The symmetry is P4/mmm, No. 123. Its crystal system is tetragonal. For the total energy, the calculation gives -8.866 eV per atom. The calculation puts the uncorrected formation energy at -0.434 eV per atom.

=====

(6)
DFT (PBE-GGA) results for a relaxed structure of PuZrSi2.

abc: 7.162 7.162 7.162
angles: 31.03 31.03 31.03
Sites, in units of the cell vectors:
Pu 0.000 0.000 0.000
Zr 0.500 0.500 0.500
Si 0.244 0.244 0.244
Si 0.756 0.756 0.756

Output
The symmetry is R-3m, No. 166. Its crystal system is trigonal. For the total energy, the calculation gives -8.807 eV per atom. The calculation puts the uncorrected formation energy at -0.375 eV per atom.

=====

(7)
DFT (PBE-GGA) results for a relaxed structure of PuZrSi.

abc: 5.360 5.360 5.360
angles: 140.26 140.26 57.47
Sites, in units of the cell vectors:
Pu 0.000 0.000 0.000
Zr 0.708 0.708 0.000
Si 0.329 0.329 0.000

Output
The symmetry is I4mm, No. 107. Its crystal system is tetragonal. For the total energy, the calculation gives -9.716 eV per atom. The calculation puts the uncorrected formation energy at -0.282 eV per atom.

=====

(8)
DFT (PBE-GGA) results for a relaxed structure of PuZrSi4.

abc: 6.933 16.532 3.764
angles: 90.00 90.00 90.00
Sites, in units of the cell vectors:
Pu 0.156 0.181 0.000
Pu 0.344 0.681 0.000
Pu 0.656 0.319 0.000
Pu 0.844 0.819 0.000
Zr 0.161 0.420 0.000
Zr 0.339 0.920 0.000
Zr 0.661 0.080 0.000
Zr 0.839 0.580 0.000
Si 0.014 0.682 0.500
Si 0.029 0.931 0.500
Si 0.161 0.548 0.500
Si 0.180 0.806 0.500
Si 0.320 0.306 0.500
Si 0.339 0.048 0.500
Si 0.471 0.431 0.500
Si 0.486 0.182 0.500
Si 0.514 0.818 0.500
Si 0.529 0.569 0.500
Si 0.661 0.952 0.500
Si 0.680 0.694 0.500
Si 0.820 0.194 0.500
Si 0.839 0.452 0.500
Si 0.971 0.069 0.500
Si 0.986 0.318 0.500

Output
The symmetry is Pbam, No. 55. Its crystal system is orthorhombic. For the total energy, the calculation gives -7.856 eV per atom. The calculation puts the uncorrected formation energy at -0.427 eV per atom.

=====

(9)
DFT (PBE-GGA) results for a relaxed structure of PuZrSi.

abc: 6.677 6.677 7.799
angles: 90.00 90.00 131.37
Sites, in units of the cell vectors:
Pu 0.192 0.308 0.250
Pu 0.308 0.192 0.750
Pu 0.692 0.808 0.250
Pu 0.808 0.692 0.750
Zr 0.184 0.816 0.401
Zr 0.316 0.684 0.901
Zr 0.684 0.316 0.099
Zr 0.816 0.184 0.599
Si 0.123 0.877 0.067
Si 0.377 0.623 0.567
Si 0.623 0.377 0.433
Si 0.877 0.123 0.933

Output
The symmetry is Cmce, No. 64. Its crystal system is orthorhombic. For the total energy, the calculation gives -9.812 eV per atom. The calculation puts the uncorrected formation energy at -0.378 eV per atom.

=====

(10)
DFT (PBE-GGA) results for a relaxed structure of Pu2Zr3Si4.

abc: 7.240 7.257 7.026
angles: 90.00 108.97 90.00
Sites, in units of the cell vectors:
Pu 0.182 0.165 0.070
Pu 0.182 0.335 0.570
Pu 0.818 0.665 0.430
Pu 0.818 0.835 0.930
Zr 0.247 0.683 0.247
Zr 0.247 0.817 0.747
Zr 0.500 0.000 0.500
Zr 0.500 0.500 0.000
Zr 0.753 0.183 0.253
Zr 0.753 0.317 0.753
Si 0.080 0.530 0.868
Si 0.080 0.970 0.368
Si 0.484 0.125 0.871
Si 0.484 0.375 0.371
Si 0.516 0.625 0.629
Si 0.516 0.875 0.129
Si 0.920 0.030 0.632
Si 0.920 0.470 0.132

Output
The symmetry is P2_1/c, No. 14. Its crystal system is monoclinic. For the total energy, the calculation gives -8.718 eV per atom. The calculation puts the uncorrected formation energy at -0.274 eV per atom.

=====

(11)
DFT (PBE-GGA) results for a relaxed structure of SmPu4.

abc: 5.528 5.528 5.528
angles: 90.00 90.00 90.00
Sites, in units of the cell vectors:
Sm 0.000 0.000 0.000
Pu 0.000 0.000 0.500
Pu 0.000 0.500 0.000
Pu 0.500 0.000 0.000
Pu 0.500 0.500 0.500

Output
The symmetry is Pm-3m, No. 221. Its crystal system is cubic. For the total energy, the calculation gives -11.315 eV per atom. For the formation energy, the calculation gives 1.094 eV per atom.

=====

(12)
DFT (PBE-GGA) results for a relaxed structure of SmPu5.

abc: 6.963 6.963 4.112
angles: 90.00 90.00 134.85
Sites, in units of the cell vectors:
Sm 0.000 0.000 0.000
Pu 0.222 0.778 0.500
Pu 0.328 0.672 0.000
Pu 0.500 0.500 0.500
Pu 0.672 0.328 0.000
Pu 0.778 0.222 0.500

Output
The symmetry is Cmmm, No. 65. Its crystal system is orthorhombic. For the total energy, the calculation gives -12.482 eV per atom. For the formation energy, the calculation gives 0.247 eV per atom.